A geometry-optimized RbCaCd2Ni structure. Source: Alexandria via LeMat-Bulk, functional PBE.

Output
As for the energy: -0.0784 hartree per atom. For the energy of formation, the calculation gives -0.02 eV per atom. The calculation puts the density of states at the Fermi level at 0.47 states/eV per atom.

Cell lengths 5.2960, 5.2960, 5.2286 Å; angles 90.00, 90.00, 90.00 degrees
Closest atoms and distances in Å follow each position.
Sites, in units of the cell vectors:
Ni (0.0000, 0.0000, 0.0000)  2 Ca 2.61, 4 Cd 2.65
Rb (0.5000, 0.5000, 0.5000)  8 Cd 3.72, 4 Ca 3.74
Cd (0.5000, 0.0000, 0.0000)  2 Ni 2.65
Cd (0.0000, 0.5000, 0.0000)  2 Ni 2.65
Ca (0.0000, 0.0000, 0.5000)  2 Ni 2.61